# BaNaZrF7 PBEsol relaxed
data_BaNaZrF7
_chemical_formula_sum 'Ba4 Na4 Zr4 F28'
_space_group_name_H-M_alt 'P n m a'
_space_group_IT_number 62
_cell_length_a 9.051
_cell_length_b 5.522
_cell_length_c 11.120
_cell_angle_alpha 90.00
_cell_angle_beta 90.00
_cell_angle_gamma 90.00
loop_
_space_group_symop_operation_xyz
'x,y,z'
'-x,-y,-z'
'-x+1/2,-y,z+1/2'
'x+1/2,y,-z+1/2'
'x+1/2,-y+1/2,-z+1/2'
'-x+1/2,y+1/2,z+1/2'
'-x,y+1/2,-z'
'x,-y+1/2,z'
loop_
_atom_site_label
_atom_site_type_symbol
_atom_site_fract_x
_atom_site_fract_y
_atom_site_fract_z
Ba1 Ba 0.028 0.250 0.173
Na1 Na 0.136 0.250 0.554
Zr1 Zr 0.249 0.750 0.359
F1 F 0.020 0.250 0.828
F2 F 0.076 0.517 0.388
F3 F 0.169 0.009 0.984
F4 F 0.221 0.002 0.723
# - Uncorrected energy: -0.4627 Ry per atom
# - Energy relative to the elements, uncorrected: -3.682 eV/atom


# ScAl2Rh PBEsol relaxed
data_ScAl2Rh
_chemical_formula_sum 'Sc1 Al2 Rh1'
_space_group_name_H-M_alt 'P 1 m 1'
_space_group_IT_number 6
_cell_length_a 3.008
_cell_length_b 4.337
_cell_length_c 4.886
_cell_angle_alpha 90.00
_cell_angle_beta 95.81
_cell_angle_gamma 90.00
loop_
_space_group_symop_operation_xyz
'x,y,z'
'x,-y,z'
loop_
_atom_site_label
_atom_site_type_symbol
_atom_site_fract_x
_atom_site_fract_y
_atom_site_fract_z
Sc1 Sc 0.000 0.000 0.000
Al1 Al 0.535 0.500 0.199
Al2 Al 0.540 0.000 0.498
Rh1 Rh 0.142 0.500 0.657
# - Uncorrected energy: -0.4629 Ry per atom
# - E_form: -0.57 eV per atom


# AlSn3Au PBEsol relaxed
data_AlSn3Au
_chemical_formula_sum 'Al1 Sn3 Au1'
_space_group_name_H-M_alt 'P m -3 m'
_space_group_IT_number 221
_space_group_name_Hall '-P 4 2 3'
_cell_length_a 5.293
_cell_length_b 5.293
_cell_length_c 5.293
_cell_angle_alpha 90.00
_cell_angle_beta 90.00
_cell_angle_gamma 90.00
loop_
_atom_site_label
_atom_site_type_symbol
_atom_site_fract_x
_atom_site_fract_y
_atom_site_fract_z
Al1 Al 0.000 0.000 0.000
Sn1 Sn 0.000 0.500 0.500
Au1 Au 0.500 0.500 0.500
# - Uncorrected energy: -0.2678 Ry per atom
# - E_form: 0.52 eV per atom


# ZnCrP2 PBEsol relaxed
data_ZnCrP2
_chemical_formula_sum 'Zn2 Cr2 P4'
_space_group_name_H-M_alt 'I m m m'
_space_group_IT_number 71
_space_group_name_Hall '-I 2 2'
_cell_length_a 3.456
_cell_length_b 4.259
_cell_length_c 6.952
_cell_angle_alpha 90.00
_cell_angle_beta 90.00
_cell_angle_gamma 90.00
loop_
_atom_site_label
_atom_site_type_symbol
_atom_site_fract_x
_atom_site_fract_y
_atom_site_fract_z
Zn1 Zn 0.000 0.000 0.000
Cr1 Cr 0.000 0.000 0.500
P1 P 0.000 0.500 0.253
# - Uncorrected energy: -0.4182 Ry per atom
# - E_form: 0.16 eV per atom


# Rb4Al2S5 PBEsol relaxed
data_Rb4Al2S5
_chemical_formula_sum 'Rb16 Al8 S20'
_space_group_name_H-M_alt 'P n a 21'
_space_group_IT_number 33
_cell_length_a 11.424
_cell_length_b 11.467
_cell_length_c 9.570
_cell_angle_alpha 90.00
_cell_angle_beta 90.00
_cell_angle_gamma 90.00
loop_
_space_group_symop_operation_xyz
'x,y,z'
'-x,-y,z+1/2'
'-x+1/2,y+1/2,z+1/2'
'x+1/2,-y+1/2,z'
loop_
_atom_site_label
_atom_site_type_symbol
_atom_site_fract_x
_atom_site_fract_y
_atom_site_fract_z
Rb1 Rb 0.021 0.109 0.000
Rb2 Rb 0.054 0.577 0.482
Rb3 Rb 0.244 0.389 0.742
Rb4 Rb 0.246 0.073 0.631
Al1 Al 0.041 0.780 0.951
Al2 Al 0.250 0.237 0.267
S1 S 0.008 0.745 0.175
S2 S 0.089 0.623 0.818
S3 S 0.101 0.118 0.338
S4 S 0.209 0.890 0.912
S5 S 0.239 0.287 0.046
# - Uncorrected energy: -0.3228 Ry per atom
# - Energy relative to the elements, uncorrected: -1.283 eV/atom


# IrRhCF2 PBEsol relaxed
data_IrRhCF2
_chemical_formula_sum 'Ir1 Rh1 C1 F2'
_space_group_name_H-M_alt 'P 4/m m m'
_space_group_IT_number 123
_space_group_name_Hall '-P 4 2'
_cell_length_a 3.725
_cell_length_b 3.725
_cell_length_c 4.159
_cell_angle_alpha 90.00
_cell_angle_beta 90.00
_cell_angle_gamma 90.00
loop_
_atom_site_label
_atom_site_type_symbol
_atom_site_fract_x
_atom_site_fract_y
_atom_site_fract_z
Ir1 Ir 0.000 0.000 0.000
Rh1 Rh 0.500 0.500 0.000
C1 C 0.000 0.000 0.500
F1 F 0.000 0.500 0.500
# - Uncorrected energy: -0.4037 Ry per atom
# - Energy relative to the elements, uncorrected: 0.800 eV/atom


# SrSmGa3O7 PBEsol relaxed
data_SrSmGa3O7
_chemical_formula_sum 'Sr4 Sm4 Ga12 O28'
_space_group_name_H-M_alt 'C m m 2'
_space_group_IT_number 35
_cell_length_a 11.163
_cell_length_b 11.324
_cell_length_c 5.260
_cell_angle_alpha 90.00
_cell_angle_beta 90.00
_cell_angle_gamma 90.00
loop_
_space_group_symop_operation_xyz
'x,y,z'
'-x,-y,z'
'-x,y,z'
'x,-y,z'
'x+1/2,y+1/2,z'
'-x+1/2,-y+1/2,z'
'-x+1/2,y+1/2,z'
'x+1/2,-y+1/2,z'
loop_
_atom_site_label
_atom_site_type_symbol
_atom_site_fract_x
_atom_site_fract_y
_atom_site_fract_z
Sr1 Sr 0.000 0.162 0.000
Sm1 Sm 0.160 0.500 0.023
Ga1 Ga 0.000 0.359 0.543
Ga2 Ga 0.148 0.000 0.475
Ga3 Ga 0.250 0.250 0.505
O1 O 0.000 0.000 0.330
O2 O 0.000 0.373 0.200
O3 O 0.000 0.500 0.723
O4 O 0.127 0.292 0.717
O5 O 0.155 0.000 0.816
O6 O 0.221 0.123 0.294
# - Uncorrected energy: -0.5091 Ry per atom
# - Energy relative to the elements, uncorrected: -2.452 eV/atom


# TiSnIN2 PBEsol relaxed
data_TiSnIN2
_chemical_formula_sum 'Ti1 Sn1 I1 N2'
_space_group_name_H-M_alt 'P 4/m m m'
_space_group_IT_number 123
_space_group_name_Hall '-P 4 2'
_cell_length_a 4.094
_cell_length_b 4.094
_cell_length_c 5.887
_cell_angle_alpha 90.00
_cell_angle_beta 90.00
_cell_angle_gamma 90.00
loop_
_atom_site_label
_atom_site_type_symbol
_atom_site_fract_x
_atom_site_fract_y
_atom_site_fract_z
Ti1 Ti 0.000 0.000 0.000
Sn1 Sn 0.500 0.500 0.500
I1 I 0.500 0.500 0.000
N1 N 0.000 0.500 0.500
# - Uncorrected energy: -0.3707 Ry per atom
# - Relative energy among the computed polymorphs: 4.26 eV/f.u.
# - Energy relative to the elements, uncorrected: 1.237 eV/atom


# Be2TeCl PBEsol relaxed
data_Be2TeCl
_chemical_formula_sum 'Be4 Te2 Cl2'
_space_group_name_H-M_alt 'I m m 2'
_space_group_IT_number 44
_cell_length_a 2.955
_cell_length_b 7.449
_cell_length_c 8.685
_cell_angle_alpha 90.00
_cell_angle_beta 90.00
_cell_angle_gamma 90.00
loop_
_space_group_symop_operation_xyz
'x,y,z'
'-x,-y,z'
'-x,y,z'
'x,-y,z'
'x+1/2,y+1/2,z+1/2'
'-x+1/2,-y+1/2,z+1/2'
'-x+1/2,y+1/2,z+1/2'
'x+1/2,-y+1/2,z+1/2'
loop_
_atom_site_label
_atom_site_type_symbol
_atom_site_fract_x
_atom_site_fract_y
_atom_site_fract_z
Be1 Be 0.000 0.000 0.000
Be2 Be 0.000 0.500 0.275
Te1 Te 0.000 0.000 0.549
Cl1 Cl 0.000 0.500 0.656
# - Uncorrected energy: -0.2364 Ry per atom
# - Relative energy among the computed polymorphs: 0.91 eV/f.u.
# - Energy relative to the elements, uncorrected: 0.167 eV/atom


# CaPt2Se PBEsol relaxed
data_CaPt2Se
_chemical_formula_sum 'Ca2 Pt4 Se2'
_space_group_name_H-M_alt 'I -4 m 2'
_space_group_IT_number 119
_space_group_name_Hall 'I -4 -2'
_cell_length_a 4.060
_cell_length_b 4.060
_cell_length_c 8.558
_cell_angle_alpha 90.00
_cell_angle_beta 90.00
_cell_angle_gamma 90.00
loop_
_atom_site_label
_atom_site_type_symbol
_atom_site_fract_x
_atom_site_fract_y
_atom_site_fract_z
Ca1 Ca 0.000 0.000 0.000
Pt1 Pt 0.000 0.000 0.500
Pt2 Pt 0.000 0.500 0.750
Se1 Se 0.000 0.500 0.250
# - Uncorrected energy: -0.3977 Ry per atom
# - Energy relative to the elements, uncorrected: -0.434 eV/atom


# CaAl2Hg PBEsol relaxed
data_CaAl2Hg
_chemical_formula_sum 'Ca4 Al8 Hg4'
_space_group_name_H-M_alt 'F -4 3 m'
_space_group_IT_number 216
_space_group_name_Hall 'F -4 2 3'
_cell_length_a 6.934
_cell_length_b 6.934
_cell_length_c 6.934
_cell_angle_alpha 90.00
_cell_angle_beta 90.00
_cell_angle_gamma 90.00
loop_
_atom_site_label
_atom_site_type_symbol
_atom_site_fract_x
_atom_site_fract_y
_atom_site_fract_z
Ca1 Ca 0.000 0.000 0.000
Al1 Al 0.000 0.000 0.500
Al2 Al 0.250 0.250 0.750
Hg1 Hg 0.250 0.250 0.250
# - Uncorrected energy: -0.2127 Ry per atom
# - E_form: -0.17 eV per atom


# ZnAgP2 PBEsol relaxed
data_ZnAgP2
_chemical_formula_sum 'Zn1 Ag1 P2'
_space_group_name_H-M_alt 'P m m 2'
_space_group_IT_number 25
_cell_length_a 2.664
_cell_length_b 3.901
_cell_length_c 6.140
_cell_angle_alpha 90.00
_cell_angle_beta 90.00
_cell_angle_gamma 90.00
loop_
_space_group_symop_operation_xyz
'x,y,z'
'-x,-y,z'
'-x,y,z'
'x,-y,z'
loop_
_atom_site_label
_atom_site_type_symbol
_atom_site_fract_x
_atom_site_fract_y
_atom_site_fract_z
Zn1 Zn 0.000 0.000 0.000
Ag1 Ag 0.500 0.500 0.274
P1 P 0.000 0.000 0.464
P2 P 0.500 0.500 0.825
# - Uncorrected energy: -0.2779 Ry per atom
# - E_form: 0.34 eV per atom


# Mg2IrPt PBEsol relaxed
data_Mg2IrPt
_chemical_formula_sum 'Mg8 Ir4 Pt4'
_space_group_name_H-M_alt 'F -4 3 m'
_space_group_IT_number 216
_space_group_name_Hall 'F -4 2 3'
_cell_length_a 6.301
_cell_length_b 6.301
_cell_length_c 6.301
_cell_angle_alpha 90.00
_cell_angle_beta 90.00
_cell_angle_gamma 90.00
loop_
_atom_site_label
_atom_site_type_symbol
_atom_site_fract_x
_atom_site_fract_y
_atom_site_fract_z
Mg1 Mg 0.000 0.000 0.000
Mg2 Mg 0.250 0.250 0.250
Ir1 Ir 0.250 0.250 0.750
Pt1 Pt 0.000 0.000 0.500
# - Uncorrected energy: -0.3903 Ry per atom
# - E_form: -0.25 eV per atom


# ScRe3 PBEsol relaxed
data_ScRe3
_chemical_formula_sum 'Sc3 Re9'
_space_group_name_H-M_alt 'R -3 m'
_space_group_IT_number 166
_space_group_name_Hall '-R 3 2"'
_cell_length_a 8.7916
_cell_length_b 8.7916
_cell_length_c 2.7319
_cell_angle_alpha 90.00
_cell_angle_beta 90.00
_cell_angle_gamma 120.00
loop_
_atom_site_label
_atom_site_type_symbol
_atom_site_fract_x
_atom_site_fract_y
_atom_site_fract_z
Sc1 Sc 0.0000 0.0000 0.0000
Re1 Re 0.0000 0.5000 0.0000
# - Uncorrected energy: -0.8561 Ry per atom
# - E_form: 0.00 eV per atom


# SrTa2Pt PBEsol relaxed
data_SrTa2Pt
_chemical_formula_sum 'Sr2 Ta4 Pt2'
_space_group_name_H-M_alt 'C m m m'
_space_group_IT_number 65
_space_group_name_Hall '-C 2 2'
_cell_length_a 4.046
_cell_length_b 4.059
_cell_length_c 9.762
_cell_angle_alpha 90.00
_cell_angle_beta 90.00
_cell_angle_gamma 90.00
loop_
_atom_site_label
_atom_site_type_symbol
_atom_site_fract_x
_atom_site_fract_y
_atom_site_fract_z
Sr1 Sr 0.000 0.000 0.000
Ta1 Ta 0.000 0.500 0.299
Pt1 Pt 0.000 0.000 0.500
# - Uncorrected energy: -0.5973 Ry per atom
# - Relative energy among the computed polymorphs: 0.00 eV/f.u.
# - E_form: 0.35 eV per atom


# Ti2H2Pb PBEsol relaxed
data_Ti2H2Pb
_chemical_formula_sum 'Ti4 H4 Pb2'
_space_group_name_H-M_alt 'I 4/m m m'
_space_group_IT_number 139
_space_group_name_Hall '-I 4 2'
_cell_length_a 3.580
_cell_length_b 3.580
_cell_length_c 9.205
_cell_angle_alpha 90.00
_cell_angle_beta 90.00
_cell_angle_gamma 90.00
loop_
_atom_site_label
_atom_site_type_symbol
_atom_site_fract_x
_atom_site_fract_y
_atom_site_fract_z
Ti1 Ti 0.000 0.000 0.175
H1 H 0.000 0.500 0.250
Pb1 Pb 0.000 0.000 0.500
# - Uncorrected energy: -0.4256 Ry per atom


# CaCu3I PBEsol relaxed
data_CaCu3I
_chemical_formula_sum 'Ca1 Cu3 I1'
_space_group_name_H-M_alt 'P m -3 m'
_space_group_IT_number 221
_space_group_name_Hall '-P 4 2 3'
_cell_length_a 4.939
_cell_length_b 4.939
_cell_length_c 4.939
_cell_angle_alpha 90.00
_cell_angle_beta 90.00
_cell_angle_gamma 90.00
loop_
_atom_site_label
_atom_site_type_symbol
_atom_site_fract_x
_atom_site_fract_y
_atom_site_fract_z
Ca1 Ca 0.000 0.000 0.000
Cu1 Cu 0.000 0.500 0.500
I1 I 0.500 0.500 0.500
# - Uncorrected energy: -0.1908 Ry per atom
# - Energy relative to the elements, uncorrected: 0.784 eV/atom


# LaCd2TcSe PBEsol relaxed
data_LaCd2TcSe
_chemical_formula_sum 'La1 Cd2 Tc1 Se1'
_space_group_name_H-M_alt 'P 4/m m m'
_space_group_IT_number 123
_space_group_name_Hall '-P 4 2'
_cell_length_a 5.030
_cell_length_b 5.030
_cell_length_c 5.557
_cell_angle_alpha 90.00
_cell_angle_beta 90.00
_cell_angle_gamma 90.00
loop_
_atom_site_label
_atom_site_type_symbol
_atom_site_fract_x
_atom_site_fract_y
_atom_site_fract_z
La1 La 0.000 0.000 0.000
Cd1 Cd 0.000 0.500 0.500
Tc1 Tc 0.500 0.500 0.000
Se1 Se 0.000 0.000 0.500
# - Uncorrected energy: -0.2764 Ry per atom
# - Energy relative to the elements, uncorrected: 0.811 eV/atom


# YZr2Ni PBEsol relaxed
data_YZr2Ni
_chemical_formula_sum 'Y1 Zr2 Ni1'
_space_group_name_H-M_alt 'P 4/m m m'
_space_group_IT_number 123
_space_group_name_Hall '-P 4 2'
_cell_length_a 3.259
_cell_length_b 3.259
_cell_length_c 7.702
_cell_angle_alpha 90.00
_cell_angle_beta 90.00
_cell_angle_gamma 90.00
loop_
_atom_site_label
_atom_site_type_symbol
_atom_site_fract_x
_atom_site_fract_y
_atom_site_fract_z
Y1 Y 0.000 0.000 0.000
Zr1 Zr 0.500 0.500 0.304
Ni1 Ni 0.000 0.000 0.500
# - Uncorrected energy: -0.5777 Ry per atom
# - Relative energy among the computed polymorphs: 0.37 eV/f.u.
# - E_form: -0.07 eV per atom


# LiI PBEsol relaxed
data_LiI
_chemical_formula_sum 'Li2 I2'
_space_group_name_H-M_alt 'P 63/m m c'
_space_group_IT_number 194
_space_group_name_Hall '-P 6c 2c'
_cell_length_a 4.1518
_cell_length_b 4.1518
_cell_length_c 6.8481
_cell_angle_alpha 90.00
_cell_angle_beta 90.00
_cell_angle_gamma 120.00
loop_
_atom_site_label
_atom_site_type_symbol
_atom_site_fract_x
_atom_site_fract_y
_atom_site_fract_z
Li1 Li 0.0000 0.0000 0.0000
I1 I 0.3333 0.6667 0.2500
# - Uncorrected energy: -0.2263 Ry per atom
# - Relative energy among the computed polymorphs: 0.00 eV/f.u.
# - Energy relative to the elements, uncorrected: -1.212 eV/atom